A geometry-optimized Cd3Mo structure, computed with PBE-GGA.

Cell lengths 4.834, 4.834, 4.834 Å; angles 60.00, 60.00, 60.00 degrees
Fractional positions:
Cd (0.000, 0.000, 0.000)
Cd (0.250, 0.250, 0.250)
Cd (0.750, 0.750, 0.750)
Mo (0.500, 0.500, 0.500)

Properties
For the total moment, the calculation gives 0.605 μB per atom. The value obtained for the uncorrected energy is -2.865 eV per atom. The calculation puts the density at 9.00 g/cm3. As for the space group: No. 225. Its density of states at the Fermi level is 0.61 states/eV/atom. The energy above the most stable polymorph in this dataset comes out at 0.251 eV per atom. The calculation puts the volume at 19.97 Å³/atom. As for the crystal system: cubic.